TaNbSn: optimized geometry, GGA-PBE.

a b c (Å): 4.7638 4.7638 2.9576
angles (deg): 90.00 90.00 120.00
Closest atoms and distances in Å follow each position.
Fractional positions:
1 Ta 0.0000 0.0000 0.0000  3 Nb 2.88, 3 Sn 2.94, 2 Ta 2.96
2 Nb 0.6667 0.3333 0.7150  3 Ta 2.88, 3 Sn 2.95, 2 Nb 2.96
3 Sn 0.3333 0.6667 0.3506  3 Ta 2.94, 3 Nb 2.95, 2 Sn 2.96

The energy above the lowest structure with this stoichiometry is 0.173 eV per atom. As for the formation enthalpy at 0 K: 0.0777 eV/atom. Its crystal system is trigonal. The value obtained for the total DFT energy (no corrections) is -25.7 eV/f.u. As for the space-group type: P3m1 (156). The calculation puts the density of states at the Fermi level at 1.48 states/eV/f.u. The calculation puts the magnetization at 0.0 μB per formula unit.